[1]
{"formula": "PaMnPbS4", "functional": "GGA-PBE", "state": "relaxed", "lattice": [[6.502, 0.000, 0.000], [0.000, 6.247, 0.000], [-2.644, 0.000, 7.866]], "species": ["Pa", "Pa", "Mn", "Mn", "Pb", "Pb", "S", "S", "S", "S", "S", "S", "S", "S"], "frac_coords": [[0.235, 0.250, 0.053], [0.765, 0.750, 0.947], [0.227, 0.750, 0.822], [0.773, 0.250, 0.178], [0.288, 0.250, 0.561], [0.712, 0.750, 0.439], [0.026, 0.513, 0.216], [0.026, 0.987, 0.216], [0.432, 0.750, 0.639], [0.451, 0.750, 0.098], [0.549, 0.250, 0.902], [0.568, 0.250, 0.361], [0.974, 0.013, 0.784], [0.974, 0.487, 0.784]], "space_group": "No. 11", "dft_energy_ev_per_atom": -6.484, "raw_formation_energy_ev_per_atom": -0.9296, "vol_a3_per_atom": 22.8}

=====

[2]
{"formula": "TaAlTePt2", "functional": "GGA-PBE", "state": "relaxed", "lattice": [[4.874, 0.000, 0.000], [0.000, 4.874, 0.000], [0.000, 0.000, 5.142]], "species": ["Ta", "Al", "Te", "Pt", "Pt"], "frac_coords": [[0.000, 0.000, 0.000], [0.500, 0.500, 0.000], [0.000, 0.000, 0.500], [0.000, 0.500, 0.500], [0.500, 0.000, 0.500]], "space_group": "No. 123", "dft_energy_ev_per_atom": -5.089, "raw_formation_energy_ev_per_atom": 1.0748, "vol_a3_per_atom": 24.4}

=====

[3]
{"formula": "InRePb2", "functional": "GGA-PBE", "state": "relaxed", "lattice": [[3.565, 0.000, 0.000], [0.000, 5.110, 0.000], [0.000, 0.000, 5.143]], "species": ["In", "Re", "Pb", "Pb"], "frac_coords": [[0.000, 0.000, 0.000], [0.500, 0.000, 0.500], [0.000, 0.500, 0.500], [0.500, 0.500, 0.000]], "space_group": "No. 47", "dft_energy_ev_per_atom": -4.675, "vol_a3_per_atom": 23.4, "delta_e_f_mev_per_atom": 976}